Entry 1:
Tl12S6I | PBE | optimized geometry

Cell and atoms, written as CIF:
```
data_Tl12S6I
_space_group_name_H-M_alt 'R -3 m'
_space_group_IT_number 166
_space_group_name_Hall '-R 3 2"'
_cell_length_a 14.4649
_cell_length_b 14.4649
_cell_length_c 9.8952
_cell_angle_alpha 90.00
_cell_angle_beta 90.00
_cell_angle_gamma 120.00
loop_
_atom_site_label
_atom_site_fract_x
_atom_site_fract_y
_atom_site_fract_z
Tl1 0.0000 0.3846 0.0000
Tl2 0.0831 0.1662 0.8266
S1 0.0169 0.5084 0.7223
I1 0.0000 0.0000 0.5000
```

Computed properties:
Total DFT energy (no corrections) ... -3.101 eV per atom
Formation energy (no corrections) ... -222 meV/atom
Volume ... 1793.0 Å³/cell
M_tot ... 0.000 μB per cell

=====

Entry 2:
TlSI2 | PBE | optimized geometry

Cell and atoms, written as CIF:
```
data_TlSI2
_space_group_name_H-M_alt 'F m -3 m'
_space_group_IT_number 225
_space_group_name_Hall '-F 4 2 3'
_cell_length_a 8.160
_cell_length_b 8.160
_cell_length_c 8.160
_cell_angle_alpha 90.00
_cell_angle_beta 90.00
_cell_angle_gamma 90.00
loop_
_atom_site_label
_atom_site_fract_x
_atom_site_fract_y
_atom_site_fract_z
Tl1 0.000 0.000 0.000
S1 0.000 0.000 0.500
I1 0.250 0.250 0.250
```

Computed properties:
Total DFT energy (no corrections) ... -2.052 eV per atom
Formation energy (no corrections) ... 347 meV/atom
Volume ... 543.4 Å³/cell
M_tot ... 11.872 μB per cell
Distance to the lowest polymorph of the same formula ... 0.2347 eV/atom

=====

Entry 3:
Tl3S2I | PBE | optimized geometry

Cell and atoms, written as CIF:
```
data_Tl3S2I
_space_group_name_H-M_alt 'P m m n'
_space_group_IT_number 59
_cell_length_a 5.388
_cell_length_b 16.620
_cell_length_c 4.529
_cell_angle_alpha 90.00
_cell_angle_beta 90.00
_cell_angle_gamma 90.00
loop_
_space_group_symop_operation_xyz
'x,y,z'
'-x,-y,-z'
'-x+1/2,-y+1/2,z'
'x+1/2,y+1/2,-z'
'x+1/2,-y,-z'
'-x+1/2,y,z'
'-x,y+1/2,-z'
'x,-y+1/2,z'
loop_
_atom_site_label
_atom_site_fract_x
_atom_site_fract_y
_atom_site_fract_z
Tl1 0.250 0.050 0.245
Tl2 0.250 0.750 0.692
S1 0.250 0.562 0.749
I1 0.250 0.250 0.807
```

Computed properties:
Total DFT energy (no corrections) ... -3.110 eV per atom
Formation energy (no corrections) ... -293 meV/atom
Volume ... 405.6 Å³/cell
M_tot ... 0.000 μB per cell

=====

Entry 4:
Tl2SI | PBE | optimized geometry

Cell and atoms, written as CIF:
```
data_Tl2SI
_space_group_name_H-M_alt 'R 3 m'
_space_group_IT_number 160
_space_group_name_Hall 'R 3 -2"'
_cell_length_a 4.3742
_cell_length_b 4.3742
_cell_length_c 23.9387
_cell_angle_alpha 90.00
_cell_angle_beta 90.00
_cell_angle_gamma 120.00
loop_
_atom_site_label
_atom_site_fract_x
_atom_site_fract_y
_atom_site_fract_z
Tl1 0.0000 0.0000 0.0000
Tl2 0.0000 0.0000 0.1995
S1 0.0000 0.0000 0.5973
I1 0.0000 0.0000 0.7699
```

Computed properties:
Total DFT energy (no corrections) ... -2.922 eV per atom
Formation energy (no corrections) ... -319 meV/atom
Volume ... 396.7 Å³/cell
M_tot ... 0.000 μB per cell
Distance to the lowest polymorph of the same formula ... 0.0719 eV/atom

=====

Entry 5:
Tl6SI4 | PBE | optimized geometry

Cell and atoms, written as CIF:
```
data_Tl6SI4
_space_group_name_H-M_alt 'R -3 c'
_space_group_IT_number 167
_space_group_name_Hall '-R 3 2"c'
_cell_length_a 13.4655
_cell_length_b 13.4655
_cell_length_c 17.1336
_cell_angle_alpha 90.00
_cell_angle_beta 90.00
_cell_angle_gamma 120.00
loop_
_atom_site_label
_atom_site_fract_x
_atom_site_fract_y
_atom_site_fract_z
Tl1 0.0444 0.1976 0.3994
S1 0.0000 0.0000 0.0000
I1 0.0000 0.0000 0.2500
I2 0.0000 0.4072 0.2500
```

Computed properties:
Total DFT energy (no corrections) ... -2.813 eV per atom
Formation energy (no corrections) ... -583 meV/atom
Volume ... 2690.4 Å³/cell
M_tot ... 0.000 μB per cell

=====

Entry 6:
TlS14I | PBE | optimized geometry

Cell and atoms, written as CIF:
```
data_TlS14I
_space_group_name_H-M_alt 'I m m a'
_space_group_IT_number 74
_space_group_name_Hall '-I 2b 2'
_cell_length_a 7.574
_cell_length_b 20.407
_cell_length_c 12.812
_cell_angle_alpha 90.00
_cell_angle_beta 90.00
_cell_angle_gamma 90.00
loop_
_atom_site_label
_atom_site_fract_x
_atom_site_fract_y
_atom_site_fract_z
Tl1 0.250 0.250 0.250
S1 0.000 0.143 0.094
S2 0.000 0.165 0.421
S3 0.000 0.204 0.899
S4 0.169 0.071 0.808
S5 0.219 0.107 0.409
I1 0.000 0.250 0.625
```

Computed properties:
Total DFT energy (no corrections) ... -3.524 eV per atom
Formation energy (no corrections) ... 332 meV/atom
Volume ... 1980.3 Å³/cell
M_tot ... 1.153 μB per cell

=====

Entry 7:
Tl4SI2 | PBE | optimized geometry

Cell and atoms, written as CIF:
```
data_Tl4SI2
_space_group_name_H-M_alt 'C 1 2/m 1'
_space_group_IT_number 12
_space_group_name_Hall '-C 2y'
_cell_length_a 12.887
_cell_length_b 4.537
_cell_length_c 9.483
_cell_angle_alpha 90.00
_cell_angle_beta 106.73
_cell_angle_gamma 90.00
loop_
_atom_site_label
_atom_site_fract_x
_atom_site_fract_y
_atom_site_fract_z
Tl1 0.049 0.000 0.333
Tl2 0.158 0.500 0.039
S1 0.000 0.000 0.000
I1 0.157 0.500 0.668
```

Computed properties:
Total DFT energy (no corrections) ... -2.867 eV per atom
Formation energy (no corrections) ... -482 meV/atom
Volume ... 530.9 Å³/cell
M_tot ... 0.000 μB per cell
Distance to the lowest polymorph of the same formula ... 0.0000 eV/atom

=====

Entry 8:
Tl6S3I | PBE | optimized geometry

Cell and atoms, written as CIF:
```
data_Tl6S3I
_space_group_name_H-M_alt 'P 1 21/m 1'
_space_group_IT_number 11
_space_group_name_Hall '-P 2yb'
_cell_length_a 11.373
_cell_length_b 4.277
_cell_length_c 14.650
_cell_angle_alpha 90.00
_cell_angle_beta 112.39
_cell_angle_gamma 90.00
loop_
_atom_site_label
_atom_site_fract_x
_atom_site_fract_y
_atom_site_fract_z
Tl1 0.064 0.250 0.414
Tl2 0.065 0.250 0.904
Tl3 0.232 0.250 0.209
Tl4 0.242 0.750 0.779
Tl5 0.409 0.250 0.626
Tl6 0.430 0.750 0.072
S1 0.152 0.250 0.628
S2 0.170 0.750 0.048
S3 0.495 0.250 0.219
I1 0.312 0.750 0.422
```

Computed properties:
Total DFT energy (no corrections) ... -3.151 eV per atom
Formation energy (no corrections) ... -338 meV/atom
Volume ... 658.8 Å³/cell
M_tot ... 0.000 μB per cell